--- w ---
TaInFeOs: optimized geometry, PBE.

Structure (POSCAR):
```
TaInFeOs
1.0
0.000 3.145 3.145
3.145 0.000 3.145
3.145 3.145 0.000
Os Fe In Ta
1 1 1 1
Cartesian
1.573 1.573 1.573
4.718 4.718 4.718
0.000 0.000 0.000
3.145 3.145 3.145
```

The space group is F-43m. Its crystal system is cubic. As for the magnetization: 0.00 μB/atom.

--- x ---
TaInFeOs: optimized geometry, PBE.

Structure (POSCAR):
```
TaInFeOs
1.0
0.000 3.197 3.197
3.197 0.000 3.197
3.197 3.197 0.000
Ta Fe Os In
1 1 1 1
Cartesian
1.598 1.598 1.598
4.795 4.795 4.795
3.197 3.197 3.197
0.000 0.000 0.000
```

The space group is F-43m. Its crystal system is cubic. As for the magnetization: 0.91 μB/atom.

w wins, 0.354 eV/atom ahead of the next structure.

--- w ---
ScInFePd: optimized geometry, PBE.

Structure (POSCAR):
```
ScInFePd
1.0
-1.834 0.511 4.162
-4.231 1.688 0.445
-3.422 -2.726 1.343
Sc Pd Fe In
1 1 1 1
Cartesian
-4.744 -0.263 2.975
-2.372 -0.132 1.487
-7.115 -0.395 4.462
0.000 0.000 0.000
```

The space group is F-43m. Its crystal system is cubic. As for the magnetization: 0.43 μB/atom.

--- x ---
ScInFePd: optimized geometry, PBE.

Structure (POSCAR):
```
ScInFePd
1.0
0.000 3.236 3.236
3.236 0.000 3.236
3.236 3.236 0.000
Sc Fe Pd In
1 1 1 1
Cartesian
1.618 1.618 1.618
4.854 4.854 4.854
3.236 3.236 3.236
0.000 0.000 0.000
```

The space group is F-43m. Its crystal system is cubic. As for the magnetization: 0.63 μB/atom.

w wins, 0.176 eV/atom ahead of the next structure.

--- w ---
YInFePd: optimized geometry, PBE.

Structure (POSCAR):
```
YInFePd
1.0
0.000 3.359 3.359
3.359 0.000 3.359
3.359 3.359 0.000
In Y Pd Fe
1 1 1 1
Cartesian
0.000 0.000 0.000
1.679 1.679 1.679
3.359 3.359 3.359
5.038 5.038 5.038
```

The space group is F-43m. Its crystal system is cubic. As for the magnetization: 0.67 μB/atom.

--- x ---
YInFePd: optimized geometry, PBE.

Structure (POSCAR):
```
YInFePd
1.0
0.000 3.314 3.314
3.314 0.000 3.314
3.314 3.314 0.000
Pd In Y Fe
1 1 1 1
Cartesian
1.657 1.657 1.657
0.000 0.000 0.000
3.314 3.314 3.314
4.971 4.971 4.971
```

The space group is F-43m. Its crystal system is cubic. As for the magnetization: 0.53 μB/atom.

x wins, 0.167 eV/atom ahead of the next structure.